ErCd4Hg7 | GGA-PBE | optimized geometry

Values from the calculation:
* calculated volume: 309 Å³ per cell
* raw total energy: -0.8935 eV per atom
* energy above the most stable polymorph in this dataset: 46.3 meV/atom
* spin magnetization: 0.00 μB per formula unit

```
ErCd4Hg7
1.0
6.1737 0.0000 0.0000
3.0869 8.1735 0.5384
3.0869 0.6970 6.1743
Er Cd Hg
1 4 7
Cartesian
0.0000 0.0000 0.0000 Er
6.1737 3.1888 4.3379 Cd
6.1737 5.6817 2.3747 Cd
9.2606 6.0803 5.4960 Cd
3.0869 2.7902 1.2167 Cd
6.1737 0.3621 3.0715 Hg
6.1737 8.5085 3.6412 Hg
3.0869 5.6457 2.4153 Hg
9.2606 3.2248 4.2974 Hg
6.1737 5.9652 5.4613 Hg
3.0869 0.0000 0.0000 Hg
6.1737 2.9053 1.2514 Hg
```